[1]
Rb3PS4 | PBE-GGA | optimized geometry

Unit cell a=7.152 b=7.152 c=7.152 alpha=91.86 beta=116.35 gamma=121.57
Fractional coordinates of all 8 atoms:
Rb 0.000 0.000 0.000
S 0.085 0.741 0.344
S 0.603 0.259 0.344
Rb 0.576 0.246 0.822
Rb 0.576 0.754 0.331
P 0.999 0.500 0.499
S 0.155 0.671 0.825
S 0.155 0.329 0.484

## Properties
Total moment in μB per formula unit: 0.00
Raw formation energy in eV/atom: -0.92

=====

[2]
Rb2P2S5 | PBE-GGA | optimized geometry

Unit cell a=4.919 b=6.876 c=8.233 alpha=102.83 beta=90.00 gamma=110.96
Fractional coordinates of all 9 atoms:
P 0.158 0.315 0.905
S 0.870 0.740 0.347
P 0.842 0.685 0.095
S 0.675 0.350 0.974
S 0.325 0.650 0.026
Rb 0.414 0.829 0.678
S 0.130 0.260 0.653
Rb 0.586 0.171 0.322
S 0.000 0.000 0.000

## Properties
Total moment in μB per formula unit: 0.00
Raw formation energy in eV/atom: -0.51

=====

[3]
RbP3S | PBE-GGA | optimized geometry

Unit cell a=4.829 b=4.829 c=4.829 alpha=90.00 beta=90.00 gamma=90.00
Fractional coordinates of all 5 atoms:
Rb 0.500 0.500 0.500
P 0.000 0.000 0.500
P 0.500 0.000 0.000
S 0.000 0.000 0.000
P 0.000 0.500 0.000

## Properties
Total moment in μB per formula unit: 0.00
Raw formation energy in eV/atom: 0.73

=====

[4]
Rb2PS3 | PBE-GGA | optimized geometry

Unit cell a=7.213 b=7.668 c=16.613 alpha=84.23 beta=78.95 gamma=58.66
Fractional coordinates of all 24 atoms:
S 0.419 0.707 0.864
Rb 0.396 0.634 0.668
S 0.383 0.812 0.439
S 0.850 0.066 0.733
S 0.347 0.115 0.726
S 0.150 0.934 0.267
P 0.318 0.990 0.336
S 0.617 0.188 0.561
Rb 0.908 0.781 0.436
P 0.682 0.010 0.664
S 0.160 0.296 0.358
Rb 0.666 0.221 0.931
S 0.222 0.179 0.942
Rb 0.334 0.779 0.069
S 0.653 0.885 0.274
S 0.840 0.704 0.642
Rb 0.604 0.366 0.332
Rb 0.066 0.367 0.153
P 0.221 0.020 0.848
P 0.779 0.980 0.152
Rb 0.092 0.219 0.564
S 0.778 0.821 0.058
Rb 0.934 0.633 0.847
S 0.581 0.293 0.136

## Properties
Total moment in μB per formula unit: 0.00
Raw formation energy in eV/atom: -0.87

=====

[5]
Rb2PS | PBE-GGA | optimized geometry

Unit cell a=5.755 b=5.755 c=5.755 alpha=60.00 beta=60.00 gamma=60.00
Site moments in Bohr magnetons follow the coordinates.
Fractional coordinates of all 4 atoms:
S 0.500 0.500 0.500  0.41
Rb 0.750 0.750 0.750  0.02
P 0.000 0.000 0.000  0.94
Rb 0.250 0.250 0.250  0.02

## Properties
Total moment in μB per formula unit: 3.00
Raw formation energy in eV/atom: 0.00

=====

[6]
Rb2PS3 | PBE-GGA | optimized geometry

Unit cell a=8.888 b=12.561 c=13.986 alpha=90.00 beta=92.37 gamma=90.00
Fractional coordinates of all 48 atoms:
S 0.430 0.160 0.606
S 0.720 0.551 0.532
S 0.510 0.426 0.175
S 0.714 0.034 0.956
S 0.990 0.926 0.825
S 0.280 0.449 0.468
Rb 0.669 0.941 0.181
Rb 0.786 0.269 0.083
S 0.040 0.590 0.668
P 0.930 0.497 0.567
S 0.570 0.840 0.394
P 0.938 0.031 0.931
S 0.780 0.051 0.468
S 0.980 0.820 0.094
Rb 0.279 0.383 0.706
Rb 0.831 0.441 0.819
S 0.490 0.574 0.825
S 0.930 0.340 0.606
P 0.438 0.469 0.931
S 0.070 0.660 0.394
P 0.070 0.503 0.433
Rb 0.286 0.231 0.083
Rb 0.631 0.307 0.437
Rb 0.169 0.559 0.181
S 0.220 0.949 0.532
P 0.570 0.997 0.433
S 0.214 0.466 0.956
Rb 0.221 0.883 0.294
Rb 0.714 0.769 0.917
Rb 0.331 0.059 0.819
S 0.460 0.090 0.332
Rb 0.721 0.617 0.294
Rb 0.369 0.693 0.563
P 0.430 0.003 0.567
S 0.286 0.966 0.044
S 0.960 0.410 0.332
Rb 0.131 0.193 0.437
P 0.062 0.969 0.069
P 0.562 0.531 0.069
Rb 0.779 0.117 0.706
S 0.480 0.680 0.094
S 0.020 0.180 0.906
S 0.786 0.534 0.044
Rb 0.869 0.807 0.563
Rb 0.214 0.731 0.917
S 0.520 0.320 0.906
S 0.540 0.910 0.668
S 0.010 0.074 0.175

## Properties
Total moment in μB per formula unit: 0.00
Raw formation energy in eV/atom: -0.95

=====

[7]
Rb3PS3 | PBE-GGA | optimized geometry

Unit cell a=6.606 b=9.790 c=9.790 alpha=119.81 beta=90.00 gamma=90.00
Site moments in Bohr magnetons follow the coordinates.
Fractional coordinates of all 14 atoms:
Rb 0.250 0.187 0.814  0.01
P 0.750 0.333 0.667  0.35
S 0.250 0.795 0.589  0.19
S 0.750 0.205 0.411  0.19
S 0.750 0.589 0.794  0.19
S 0.750 0.205 0.796  0.19
P 0.250 0.667 0.333  0.35
Rb 0.750 0.813 0.625  0.01
Rb 0.250 0.625 0.812  0.01
S 0.250 0.411 0.206  0.19
Rb 0.750 0.375 0.188  0.01
S 0.250 0.795 0.204  0.19
Rb 0.250 0.187 0.375  0.01
Rb 0.750 0.813 0.186  0.01

## Properties
Total moment in μB per formula unit: 1.88
Raw formation energy in eV/atom: -0.67

=====

[8]
RbP3S | PBE-GGA | optimized geometry

Unit cell a=6.944 b=6.944 c=6.944 alpha=90.00 beta=90.00 gamma=90.00
Site moments in Bohr magnetons follow the coordinates.
Fractional coordinates of all 5 atoms:
P 0.000 0.500 0.000  1.11
Rb 0.000 0.000 0.000  0.05
P 0.500 0.000 0.000  1.08
P 0.000 0.000 0.500  1.15
S 0.500 0.500 0.500  0.97

## Properties
Total moment in μB per formula unit: 10.00
Raw formation energy in eV/atom: 2.26

=====

[9]
Rb2PS | PBE-GGA | optimized geometry

Unit cell a=12.493 b=12.493 c=9.134 alpha=46.85 beta=46.85 gamma=90.00
Site moments in Bohr magnetons follow the coordinates.
Fractional coordinates of all 8 atoms:
Rb 0.850 0.125 0.250  0.00
Rb 0.375 0.150 0.750  0.00
Rb 0.875 0.100 0.750  0.00
S 0.000 0.000 0.000  0.16
S 0.750 0.250 0.500  0.16
P 0.250 0.750 0.500  0.07
Rb 0.900 0.625 0.250  0.00
P 0.500 0.500 0.000  0.07

## Properties
Total moment in μB per formula unit: 0.43
Raw formation energy in eV/atom: -0.23

=====

[10]
RbSbP2S | PBE-GGA | optimized geometry

Unit cell a=5.358 b=5.358 c=5.356 alpha=90.00 beta=90.00 gamma=90.00
Site moments in Bohr magnetons follow the coordinates.
Fractional coordinates of all 5 atoms:
S 0.000 0.000 0.500  0.27
P 0.000 0.500 0.000  0.15
Sb 0.500 0.500 0.500  -0.11
Rb 0.000 0.000 0.000  0.02
P 0.500 0.000 0.000  0.15

## Properties
Total moment in μB per formula unit: 0.86
Raw formation energy in eV/atom: 1.81

=====

[11]
RbSbPS2 | PBE-GGA | optimized geometry

Unit cell a=5.234 b=5.234 c=5.253 alpha=90.00 beta=90.00 gamma=90.00
Site moments in Bohr magnetons follow the coordinates.
Fractional coordinates of all 5 atoms:
S 0.500 0.000 0.000  0.15
Rb 0.500 0.500 0.500  0.01
P 0.000 0.000 0.500  0.61
Sb 0.000 0.000 0.000  0.00
S 0.000 0.500 0.000  0.15

## Properties
Total moment in μB per formula unit: 1.88
Raw formation energy in eV/atom: 0.07

=====

[12]
RbSbP2S | PBE-GGA | optimized geometry

Unit cell a=5.247 b=5.247 c=5.334 alpha=90.00 beta=90.00 gamma=90.00
Site moments in Bohr magnetons follow the coordinates.
Fractional coordinates of all 5 atoms:
P 0.500 0.000 0.000  0.43
Rb 0.500 0.500 0.500  0.01
S 0.000 0.000 0.500  0.25
Sb 0.000 0.000 0.000  0.00
P 0.000 0.500 0.000  0.43

## Properties
Total moment in μB per formula unit: 2.39
Raw formation energy in eV/atom: 0.39

=====

Question: What is the formula in the eleventh record?
Answer: RbSbPS2

=====

Copy entry 12 word for word.
RbSbP2S | PBE-GGA | optimized geometry

Unit cell a=5.247 b=5.247 c=5.334 alpha=90.00 beta=90.00 gamma=90.00
Site moments in Bohr magnetons follow the coordinates.
Fractional coordinates of all 5 atoms:
P 0.500 0.000 0.000  0.43
Rb 0.500 0.500 0.500  0.01
S 0.000 0.000 0.500  0.25
Sb 0.000 0.000 0.000  0.00
P 0.000 0.500 0.000  0.43

## Properties
Total moment in μB per formula unit: 2.39
Raw formation energy in eV/atom: 0.39

=====

Repeat the second record exactly.
Rb2P2S5 | PBE-GGA | optimized geometry

Unit cell a=4.919 b=6.876 c=8.233 alpha=102.83 beta=90.00 gamma=110.96
Fractional coordinates of all 9 atoms:
P 0.158 0.315 0.905
S 0.870 0.740 0.347
P 0.842 0.685 0.095
S 0.675 0.350 0.974
S 0.325 0.650 0.026
Rb 0.414 0.829 0.678
S 0.130 0.260 0.653
Rb 0.586 0.171 0.322
S 0.000 0.000 0.000

## Properties
Total moment in μB per formula unit: 0.00
Raw formation energy in eV/atom: -0.51

=====

Question: total moment of number 10 (RbSbP2S)?
Answer: 0.86 μB per formula unit